# PBE with a Hubbard U LiFePO4, relaxed
# energy relative to the lowest polymorph listed for this composition: 51 meV/atom
# energy: -6.7812 eV/atom
# crystal system: orthorhombic
data_LiFePO4
_chemical_formula_sum 'Li8 Fe8 P8 O32'
_space_group_name_H-M_alt 'P b c a'
_space_group_IT_number 61
_cell_length_a 5.900
_cell_length_b 7.521
_cell_length_c 14.021
_cell_angle_alpha 90.00
_cell_angle_beta 90.00
_cell_angle_gamma 90.00
loop_
_space_group_symop_operation_xyz
'x,y,z'
'-x,-y,-z'
'-x+1/2,-y,z+1/2'
'x+1/2,y,-z+1/2'
'x+1/2,-y+1/2,-z'
'-x+1/2,y+1/2,z'
'-x,y+1/2,-z+1/2'
'x,-y+1/2,z+1/2'
loop_
_atom_site_label
_atom_site_type_symbol
_atom_site_fract_x
_atom_site_fract_y
_atom_site_fract_z
Li1 Li 0.207 0.174 0.219
Fe1 Fe 0.113 0.684 0.533
P1 P 0.107 0.553 0.871
O1 O 0.018 0.628 0.133
O2 O 0.059 0.205 0.594
O3 O 0.202 0.046 0.951
O4 O 0.202 0.593 0.773